Crystalline VRuRhF2 at its relaxed geometry. Source: Alexandria via LeMat-Bulk, functional PBE with a Hubbard U.

Cell and atoms, written as CIF:
```
data_VRuRhF2
_chemical_formula_sum 'V1 Ru1 Rh1 F2'
_cell_length_a 4.011
_cell_length_b 4.011
_cell_length_c 5.055
_cell_angle_alpha 90.00
_cell_angle_beta 90.00
_cell_angle_gamma 90.00
_symmetry_space_group_name_H-M 'P 1'
_symmetry_Int_Tables_number 1
loop_
_symmetry_equiv_pos_as_xyz
'x,y,z'
loop_
_atom_site_label
_atom_site_type_symbol
_atom_site_fract_x
_atom_site_fract_y
_atom_site_fract_z
V1 V 0.000 0.000 0.000
Ru1 Ru 0.500 0.500 0.500
Rh1 Rh 0.500 0.500 0.000
F1 F 0.000 0.500 0.500
F2 F 0.500 0.000 0.500
```

Calculated values
density	5980	kg/m3
final energy	-5.53	eV/atom